(1)
## Tb2ZnCo5B2 (PBE-GGA)

Data for an optimized crystal structure of Tb2ZnCo5B2. Values from VASP.

Symmetry: P4/mbm, No. 127

```
&SYSTEM
  ibrav = 0, nat = 20, ntyp = 4
/
ATOMIC_SPECIES
Tb 158.93 Tb.upf
Co 58.93 Co.upf
Zn 65.41 Zn.upf
B 10.81 B.upf
ATOMIC_POSITIONS angstrom
Tb -9.428 -2.025 0.498
Tb -6.164 -3.802 3.400
Tb -6.084 0.391 -1.785
Tb -2.819 -1.386 1.117
Co -7.880 -1.636 2.798
Co -2.423 -1.526 3.829
Co -4.107 2.175 -1.123
Co -4.834 -1.356 3.103
Co -7.819 0.299 0.410
Co -4.773 0.579 0.715
Co -8.499 1.794 -1.589
Co -10.352 -2.324 3.124
Co -4.154 -2.850 5.101
Co -2.301 1.267 0.389
Zn -6.124 -1.706 0.808
Zn 0.000 0.000 0.000
B -3.668 -3.107 3.071
B -3.506 0.123 -0.901
B -8.579 -0.304 -1.456
B -8.742 -3.534 2.516
CELL_PARAMETERS angstrom
-0.406 2.354 1.898
-7.808 1.996 -4.145
-4.440 -5.407 5.760
```


(2)
## CoTcB (PBE-GGA)

Data for an optimized crystal structure of CoTcB. Values from VASP.

Offset from the most stable computed form, eV per atom: 0.0853
Symmetry: Cmcm, No. 63

```
&SYSTEM
  ibrav = 0, nat = 6, ntyp = 3
/
ATOMIC_SPECIES
Co 58.93 Co.upf
B 10.81 B.upf
Tc 98.00 Tc.upf
ATOMIC_POSITIONS angstrom
Co 0.747 1.575 2.786
Co 2.241 0.000 3.830
B 2.241 0.000 6.098
B 0.747 1.575 0.518
Tc 0.747 1.575 5.425
Tc 2.241 0.000 1.191
CELL_PARAMETERS angstrom
2.988 0.000 0.000
0.000 3.150 0.000
0.000 -1.575 6.616
```


(3)
## CoTc2B (PBE-GGA)

Data for an optimized crystal structure of CoTc2B. Values from VASP.

Symmetry: I-42d, No. 122

```
&SYSTEM
  ibrav = 0, nat = 8, ntyp = 3
/
ATOMIC_SPECIES
Co 58.93 Co.upf
Tc 98.00 Tc.upf
B 10.81 B.upf
ATOMIC_POSITIONS angstrom
Co -1.062 -5.065 -2.357
Co 0.000 0.000 0.000
Tc -1.192 -2.798 -1.495
Tc 0.738 -6.684 -2.548
Tc 0.921 -2.319 -2.469
Tc -0.094 -7.341 -4.674
B -0.729 -0.664 -2.336
B 1.248 -4.506 -3.236
CELL_PARAMETERS angstrom
-3.039 -1.223 -1.456
1.582 -0.105 -3.215
1.643 -8.244 -0.922
```


(4)
## CoTcB3 (PBE-GGA)

Data for an optimized crystal structure of CoTcB3. Values from VASP.

Offset from the most stable computed form, eV per atom: 0.0000
Symmetry: Pm-3m, No. 221

```
&SYSTEM
  ibrav = 0, nat = 5, ntyp = 3
/
ATOMIC_SPECIES
Tc 98.00 Tc.upf
B 10.81 B.upf
Co 58.93 Co.upf
ATOMIC_POSITIONS angstrom
Tc 1.833 1.833 1.833
B 1.833 0.000 0.000
B 0.000 1.833 0.000
B 0.000 0.000 1.833
Co 0.000 0.000 0.000
CELL_PARAMETERS angstrom
3.667 0.000 0.000
0.000 3.667 0.000
0.000 0.000 3.667
```


no.,raw total energy (eV per atom),size of the total moment (μB/cell),formation energy (kcal/mol of atoms)
1,-6.2330,0.0,-6.71
2,-8.2174,3.5,-3.87
3,-7.8865,0.3,17.12
4,-6.5715,0.0,21.43